No. 1
Entry from the Alexandria database: a relaxed structure of Li4ErSi4 (PBE-GGA).

Cell: 5.9078 5.9078 8.4966 Å, 90.00 90.00 90.00°
Element x y z (fractional)
Li: 0.0071 0.2500 0.1632
Li: 0.2500 0.0071 0.6632
Li: 0.2500 0.4929 0.6632
Li: 0.4929 0.2500 0.1632
Li: 0.5071 0.7500 0.8368
Li: 0.7500 0.5071 0.3368
Li: 0.7500 0.9929 0.3368
Li: 0.9929 0.7500 0.8368
Er: 0.2500 0.7500 0.2500
Er: 0.7500 0.2500 0.7500
Si: 0.0491 0.2500 0.4635
Si: 0.2500 0.0491 0.9635
Si: 0.2500 0.4509 0.9635
Si: 0.4509 0.2500 0.4635
Si: 0.5491 0.7500 0.5365
Si: 0.7500 0.5491 0.0365
Si: 0.7500 0.9509 0.0365
Si: 0.9509 0.7500 0.5365

Summary:
SG: P4_2/nmc
Final energy in eV for the cell shown: -71.15
DOS(E_F) in states/eV/atom: 0.358
Formation energy (no corrections) in kJ per mole of atoms: -17.8
Theoretical density in Mg/m³: 3.4

---

No. 2
Entry from the Alexandria database: a relaxed structure of Ba2Mg12AlHg3 (PBE-GGA).

Cell: 11.4343 11.4343 11.4343 Å, 38.59 38.59 38.59°
Element x y z (fractional)
Ba: 0.1481 0.1481 0.1481
Ba: 0.8519 0.8519 0.8519
Mg: 0.0870 0.0870 0.6901
Mg: 0.0870 0.6901 0.0870
Mg: 0.1456 0.5708 0.5708
Mg: 0.3099 0.9130 0.9130
Mg: 0.4292 0.4292 0.8544
Mg: 0.4292 0.8544 0.4292
Mg: 0.5708 0.1456 0.5708
Mg: 0.5708 0.5708 0.1456
Mg: 0.6901 0.0870 0.0870
Mg: 0.8544 0.4292 0.4292
Mg: 0.9130 0.3099 0.9130
Mg: 0.9130 0.9130 0.3099
Al: 0.5000 0.5000 0.5000
Hg: 0.0000 0.5000 0.5000
Hg: 0.5000 0.0000 0.5000
Hg: 0.5000 0.5000 0.0000

Summary:
SG: R-3m
Final energy in eV for the cell shown: -27.06
E_form in eV per atom: 0.03
DOS(E_F) in states/eV/atom: 0.620
Theoretical density in Mg/m³: 3.8